1.
Here is a relaxed structure of LaPmS3 from Alexandria. Energies are from PBE-GGA.

Cell and atoms, written as POSCAR:
```
LaPmS3
1.0
7.538 0.000 0.000
0.000 4.110 0.000
0.000 0.000 15.689
La Pm S
4 4 12
direct
0.144 0.250 0.203
0.356 0.750 0.703
0.644 0.250 0.297
0.856 0.750 0.797
0.234 0.750 0.456
0.266 0.250 0.956
0.734 0.750 0.044
0.766 0.250 0.544
0.012 0.250 0.393
0.126 0.750 0.065
0.148 0.250 0.782
0.352 0.750 0.282
0.374 0.250 0.565
0.488 0.750 0.893
0.512 0.250 0.107
0.626 0.750 0.435
0.648 0.250 0.718
0.852 0.750 0.218
0.874 0.250 0.935
0.988 0.750 0.607
```

- ΔE_f (raw): -2145.6 meV per atom
- Density: 5.19 g cm⁻³
- Relative energy among the computed polymorphs: 0.0 meV/atom
- E_tot: -6.558 eV/atom

---

2.
Here is a relaxed structure of LiMgFe2Mo from Alexandria. Energies are from PBE-GGA.

Cell and atoms, written as POSCAR:
```
LiMgFe2Mo
1.0
4.559 0.000 0.000
0.000 4.559 0.000
0.000 0.000 4.807
Li Mg Fe Mo
1 1 2 1
direct
0.000 0.000 0.000
0.500 0.500 0.500
0.000 0.500 0.500
0.500 0.000 0.500
0.500 0.500 0.000
```

- Density: 3.97 g cm⁻³
- Calculated formation energy: 168 kJ per mole of atoms
- E_tot: -4.507 eV/atom

---

3.
Here is a relaxed structure of KTcRu2 from Alexandria. Energies are from PBE-GGA.

Cell and atoms, written as POSCAR:
```
KTcRu2
1.0
1.441 -2.335 0.000
1.441 2.335 0.000
0.000 0.000 10.150
K Tc Ru
1 1 2
direct
0.000 0.000 0.000
0.000 0.000 0.500
0.500 0.500 0.286
0.500 0.500 0.714
```

- Density: 8.25 g cm⁻³
- Relative energy among the computed polymorphs: 176.8 meV/atom
- Calculated formation energy: 80 kJ per mole of atoms
- E_tot: -6.679 eV/atom

---

4.
Here is a relaxed structure of Pr5SmHo3 from Alexandria. Energies are from PBE-GGA.

Cell and atoms, written as POSCAR:
```
Pr5SmHo3
1.0
-4.044 4.044 9.704
4.044 -4.044 9.704
4.044 4.044 -9.704
Pr Sm Ho
10 2 6
direct
0.000 0.000 0.000
0.072 0.572 0.910
0.162 0.072 0.500
0.338 0.838 0.910
0.428 0.338 0.500
0.500 0.500 0.000
0.572 0.662 0.500
0.662 0.162 0.090
0.838 0.928 0.500
0.928 0.428 0.090
0.250 0.750 0.500
0.750 0.250 0.500
0.128 0.372 0.500
0.250 0.250 0.000
0.372 0.872 0.243
0.628 0.128 0.757
0.750 0.750 0.000
0.872 0.628 0.500
```

- Density: 7.06 g cm⁻³
- Relative energy among the computed polymorphs: 15.9 meV/atom
- Calculated formation energy: 28 kJ per mole of atoms
- E_tot: -4.419 eV/atom

---

5.
Here is a relaxed structure of Zn2TcAu from Alexandria. Energies are from PBE-GGA.

Cell and atoms, written as POSCAR:
```
Zn2TcAu
1.0
2.730 0.000 0.000
0.000 4.284 0.000
-1.348 0.000 5.190
Zn Tc Au
2 1 1
direct
0.000 0.000 0.000
0.142 0.500 0.282
0.407 0.500 0.811
0.750 0.000 0.497
```

- Density: 11.65 g cm⁻³
- Relative energy among the computed polymorphs: 83.8 meV/atom
- Calculated formation energy: 8 kJ per mole of atoms
- E_tot: -3.962 eV/atom

---

6.
Here is a relaxed structure of CaCr2P from Alexandria. Energies are from PBE-GGA.

Cell and atoms, written as POSCAR:
```
CaCr2P
1.0
2.033 1.174 5.165
-2.033 1.174 5.165
0.000 -2.347 5.165
Ca Cr P
1 2 1
direct
0.000 0.000 0.000
0.197 0.197 0.197
0.494 0.494 0.494
0.808 0.808 0.808
```

- Density: 3.93 g cm⁻³
- Calculated formation energy: -22 kJ per mole of atoms
- E_tot: -6.896 eV/atom

---

Q: Among the records above, which one has the highest E_tot?
A: Zn2TcAu